## La3TcC (PBE-GGA)

Data for a relaxed structure of La3TcC.

**Size of the total moment**: 0.87 μB per cell
**ΔH_f (0 K)**: 1.9 eV/f.u.
**Distance to the lowest polymorph of the same formula**: 0.0 meV/atom
**VASP energy**: -6.491 eV per atom

Cell lengths 5.084, 5.084, 5.084 Å; angles 90.00, 90.00, 90.00 degrees
Space group Pm-3m (No. 221)
Asymmetric unit:
La: 0.000 0.000 0.500 [3 per cell]
Tc: 0.500 0.500 0.500 [1 per cell]
C: 0.000 0.000 0.000 [1 per cell]